The following is a PBE calculation of an optimized crystal structure of TlZnB3, from Alexandria via LeMat-Bulk.

Cell and atoms, written as CIF:
```
data_TlZnB3
_chemical_formula_sum 'Tl1 Zn1 B3'
_cell_length_a 4.6000
_cell_length_b 4.6000
_cell_length_c 4.6000
_cell_angle_alpha 90.00
_cell_angle_beta 90.00
_cell_angle_gamma 90.00
_space_group_name_H-M_alt 'P 1'
_space_group_IT_number 1
_space_group_name_Hall 'P 1'
loop_
_atom_site_label
_atom_site_type_symbol
_atom_site_fract_x
_atom_site_fract_y
_atom_site_fract_z
_atom_site_occupancy
Tl1 Tl 0.0000 0.0000 0.0000 1
Zn1 Zn 0.5000 0.5000 0.5000 1
B1 B 0.0000 0.0000 0.5000 1
B2 B 0.0000 0.5000 0.0000 1
B3 B 0.5000 0.0000 0.0000 1
```

The calculated volume is 19.47 Å³/atom. As for the space group: No. 221. The density of states at the Fermi level is 2.19 states/eV/cell. For the energy, the calculation gives -2.222 eV per atom.